Entry 1:
First-principles (GGA-PBE) data for a geometry-optimized Tb6Dy2Er3Pu structure, as listed in Alexandria via LeMat-Bulk.

Calculated values
E_form, kJ per mole of atoms: 4.2
Uncorrected energy, eV per cell: -64.487

Cell and atoms, written as POSCAR:
```
Tb6Dy2Er3Pu
1.0
3.0582 -5.2991 0.0000
3.0582 5.2991 0.0000
-2.0452 0.0000 11.4830
Tb Dy Er Pu
6 2 3 1
Cartesian
-0.0180 1.7477 8.6032 Tb
0.9993 0.0000 2.8795 Tb
-0.0180 -1.7477 8.6032 Tb
4.0893 1.7477 2.8798 Tb
3.0720 0.0000 8.6036 Tb
4.0893 -1.7477 2.8798 Tb
2.0356 1.7652 5.7415 Dy
2.0356 -1.7652 5.7415 Dy
3.0582 3.5286 0.0000 Er
3.0582 0.0000 0.0000 Er
3.0582 -3.5286 0.0000 Er
-1.0226 0.0000 5.7415 Pu
```


Entry 2:
First-principles (GGA-PBE) data for a geometry-optimized Tb2Dy3Er6Pu structure, as listed in Alexandria via LeMat-Bulk.

Calculated values
E_form, kJ per mole of atoms: 4.1
Uncorrected energy, eV per cell: -64.268

Cell and atoms, written as POSCAR:
```
Tb2Dy3Er6Pu
1.0
3.0441 -5.2740 0.0000
3.0441 5.2740 0.0000
-2.0340 0.0000 11.4261
Tb Dy Er Pu
2 3 6 1
Cartesian
3.0441 3.5168 0.0000 Tb
3.0441 -3.5168 0.0000 Tb
-1.0170 0.0000 5.7131 Dy
2.0271 1.7635 5.7131 Dy
2.0271 -1.7635 5.7131 Dy
0.0100 1.7366 8.5864 Er
1.0362 0.0000 2.8410 Er
0.0100 -1.7366 8.5864 Er
4.0441 1.7366 2.8397 Er
3.0179 0.0000 8.5852 Er
4.0441 -1.7366 2.8397 Er
3.0441 0.0000 0.0000 Pu
```


Entry 3:
First-principles (GGA-PBE) data for a geometry-optimized DyErPu2Te5 structure, as listed in Alexandria via LeMat-Bulk.

Calculated values
Uncorrected energy, eV per cell: -59.738
Formation energy (no corrections), meV/atom: -689

Cell and atoms, written as POSCAR:
```
DyErPu2Te5
1.0
5.4920 0.0000 0.0000
0.0000 5.4920 0.0000
0.0000 0.0000 11.5295
Dy Er Pu Te
1 1 2 5
Cartesian
0.0000 0.0000 0.0000 Dy
0.0000 0.0000 5.7648 Er
2.7460 2.7460 3.6586 Pu
2.7460 2.7460 7.8709 Pu
0.0000 0.0000 2.8222 Te
0.0000 0.0000 8.7073 Te
0.0000 2.7460 5.7648 Te
2.7460 0.0000 5.7648 Te
2.7460 2.7460 0.0000 Te
```


Entry 4:
First-principles (GGA-PBE) data for a geometry-optimized Dy3ErPu2Te6 structure, as listed in Alexandria via LeMat-Bulk.

Calculated values
Uncorrected energy, eV per cell: -80.635
Formation energy (no corrections), meV/atom: -1229

Cell and atoms, written as POSCAR:
```
Dy3ErPu2Te6
1.0
9.5444 -2.1763 0.0000
9.5444 2.1763 0.0000
-2.0783 0.0000 8.5327
Dy Er Pu Te
3 1 2 6
Cartesian
0.0000 0.0000 0.0000 Dy
4.9357 0.0000 5.6834 Dy
12.0749 0.0000 2.8493 Dy
-1.0391 0.0000 4.2663 Er
6.0284 0.0000 1.4288 Pu
10.9822 0.0000 7.1039 Pu
1.9438 0.0000 4.9350 Te
2.9855 0.0000 0.7298 Te
7.9434 0.0000 6.3718 Te
9.0672 0.0000 2.1609 Te
14.0250 0.0000 7.8029 Te
15.0668 0.0000 3.5977 Te
```


Entry 5:
First-principles (GGA-PBE) data for a geometry-optimized Dy3Er2PuTe6 structure, as listed in Alexandria via LeMat-Bulk.

Calculated values
Uncorrected energy, eV per cell: -71.046
Formation energy (no corrections), meV/atom: -1244

Cell and atoms, written as POSCAR:
```
Dy3Er2PuTe6
1.0
9.5022 -2.1656 0.0000
9.5022 2.1656 0.0000
-2.0345 0.0000 8.4999
Dy Er Pu Te
3 2 1 6
Cartesian
0.0000 0.0000 0.0000 Dy
5.0287 0.0000 5.6586 Dy
11.9412 0.0000 2.8413 Dy
6.0588 0.0000 1.4693 Er
10.9110 0.0000 7.0306 Er
-1.0172 0.0000 4.2500 Pu
3.0516 0.0000 0.6899 Te
2.0226 0.0000 4.9829 Te
8.9964 0.0000 2.0941 Te
7.9734 0.0000 6.4058 Te
14.9473 0.0000 3.5171 Te
13.9182 0.0000 7.8100 Te
```


Entry 6:
First-principles (GGA-PBE) data for a geometry-optimized DyErPuTh structure, as listed in Alexandria via LeMat-Bulk.

Calculated values
E_form, kJ per mole of atoms: 19.4
Uncorrected energy, eV per cell: -120.449

Cell and atoms, written as POSCAR:
```
DyErPuTh
1.0
7.8560 0.0000 0.0000
0.0000 7.8560 0.0000
0.0000 0.0000 7.8560
Dy Er Pu Th
4 4 4 4
Cartesian
0.0000 0.0000 0.0000 Dy
0.0000 3.9280 3.9280 Dy
3.9280 0.0000 3.9280 Dy
3.9280 3.9280 0.0000 Dy
1.9640 1.9640 5.8920 Er
1.9640 5.8920 1.9640 Er
5.8920 1.9640 1.9640 Er
5.8920 5.8920 5.8920 Er
1.9640 1.9640 1.9640 Pu
1.9640 5.8920 5.8920 Pu
5.8920 1.9640 5.8920 Pu
5.8920 5.8920 1.9640 Pu
0.0000 0.0000 3.9280 Th
0.0000 3.9280 0.0000 Th
3.9280 0.0000 0.0000 Th
3.9280 3.9280 3.9280 Th
```


Question: What is the uncorrected energy in the fifth record?
Answer: -71.046 eV per cell


Question: The highest uncorrected energy belongs to which entry?
Answer: DyErPu2Te5


Repeat the fifth record exactly.
First-principles (GGA-PBE) data for a geometry-optimized Dy3Er2PuTe6 structure, as listed in Alexandria via LeMat-Bulk.

Calculated values
Uncorrected energy, eV per cell: -71.046
Formation energy (no corrections), meV/atom: -1244

Cell and atoms, written as POSCAR:
```
Dy3Er2PuTe6
1.0
9.5022 -2.1656 0.0000
9.5022 2.1656 0.0000
-2.0345 0.0000 8.4999
Dy Er Pu Te
3 2 1 6
Cartesian
0.0000 0.0000 0.0000 Dy
5.0287 0.0000 5.6586 Dy
11.9412 0.0000 2.8413 Dy
6.0588 0.0000 1.4693 Er
10.9110 0.0000 7.0306 Er
-1.0172 0.0000 4.2500 Pu
3.0516 0.0000 0.6899 Te
2.0226 0.0000 4.9829 Te
8.9964 0.0000 2.0941 Te
7.9734 0.0000 6.4058 Te
14.9473 0.0000 3.5171 Te
13.9182 0.0000 7.8100 Te
```